An optimized crystal structure of Rb3SrAl. Source: Alexandria via LeMat-Bulk, functional GGA-PBE.

Properties
The total energy is -1.24 eV per atom.

Lattice parameters (Å, degrees): 7.074 7.074 7.074 90.00 90.00 90.00
Space group Pm-3m (No. 221)
Unique sites:
Rb 0.000 0.000 0.500
Sr 0.500 0.500 0.500
Al 0.000 0.000 0.000



An optimized crystal structure of Rb2Sr2Al. Source: Alexandria via LeMat-Bulk, functional GGA-PBE.

Properties
The total energy is -1.57 eV per atom.

Lattice parameters (Å, degrees): 8.801 8.801 7.579 90.00 90.00 90.00
Space group P4/mbm (No. 127)
Unique sites:
Rb 0.180 0.320 0.000
Sr 0.170 0.670 0.500
Al 0.000 0.000 0.500



An optimized crystal structure of RbSrAl3. Source: Alexandria via LeMat-Bulk, functional GGA-PBE.

Properties
The total energy is -1.63 eV per atom.

Lattice parameters (Å, degrees): 5.815 5.815 5.815 90.00 90.00 90.00
Space group Pm-3m (No. 221)
Unique sites:
Rb 0.000 0.000 0.000
Sr 0.500 0.500 0.500
Al 0.000 0.000 0.500



An optimized crystal structure of RbTaAl3. Source: Alexandria via LeMat-Bulk, functional GGA-PBE.

Properties
The total energy is -4.24 eV per atom.

Lattice parameters (Å, degrees): 5.247 5.247 5.247 90.00 90.00 90.00
Space group Pm-3m (No. 221)
Unique sites:
Rb 0.000 0.000 0.000
Ta 0.500 0.500 0.500
Al 0.000 0.500 0.500



An optimized crystal structure of Rb2TaAl2. Source: Alexandria via LeMat-Bulk, functional GGA-PBE.

Properties
The total energy is -3.38 eV per atom.

Lattice parameters (Å, degrees): 7.368 7.368 6.415 90.00 90.00 90.00
Space group P4/mbm (No. 127)
Unique sites:
Rb 0.166 0.334 0.000
Ta 0.000 0.000 0.500
Al 0.190 0.690 0.500



An optimized crystal structure of RbTaAl3. Source: Alexandria via LeMat-Bulk, functional GGA-PBE.

Properties
The total energy is -2.35 eV per atom.

Lattice parameters (Å, degrees): 5.091 5.091 5.091 90.00 90.00 90.00
Space group Pm-3m (No. 221)
Unique sites:
Rb 0.000 0.000 0.000
Ta 0.500 0.500 0.500
Al 0.000 0.000 0.500



An optimized crystal structure of RbTa3Al. Source: Alexandria via LeMat-Bulk, functional GGA-PBE.

Properties
The total energy is -6.16 eV per atom.

Lattice parameters (Å, degrees): 4.982 4.982 4.982 90.00 90.00 90.00
Space group Pm-3m (No. 221)
Unique sites:
Rb 0.000 0.000 0.000
Ta 0.000 0.500 0.500
Al 0.500 0.500 0.500



An optimized crystal structure of Rb2TaAl2. Source: Alexandria via LeMat-Bulk, functional GGA-PBE.

Properties
The total energy is -3.10 eV per atom.

Lattice parameters (Å, degrees): 4.004 4.004 16.341 90.00 90.00 90.00
Space group I4/mmm (No. 139)
Unique sites:
Rb 0.000 0.500 0.250
Ta 0.000 0.000 0.000
Al 0.000 0.000 0.425